Record 1
Density functional theory data (PBE) for an optimized crystal structure of InTc2Sb.

Results
- Crystal system: tetragonal
- ΔE to the lowest computed polymorph: 0.731 eV/atom
- D(E_F): 7.56 states/eV per cell

Cell: 7.373 7.373 6.012 Å, 52.18 52.18 90.00°
Last column: magnetic moment on the atom in μB.
Element x y z (fractional)
1 Sb 0.000 0.000 0.000  -0.04
2 Sb 0.750 0.250 0.500  -0.04
3 Tc 0.646 0.125 0.250  1.45
4 Tc 0.104 0.625 0.250  1.45
5 Tc 0.375 0.354 0.750  1.45
6 Tc 0.875 0.896 0.750  1.45
7 In 0.500 0.500 0.000  -0.02
8 In 0.250 0.750 0.500  -0.02

Record 2
Density functional theory data (PBE) for an optimized crystal structure of BiP2PbO.

Results
- Crystal system: tetragonal
- ΔE to the lowest computed polymorph: 0.116 eV/atom
- D(E_F): 3.93 states/eV per cell

Cell: 5.378 5.378 4.263 Å, 90.00 90.00 90.00°
Last column: magnetic moment on the atom in μB.
Element x y z (fractional)
1 Pb 0.000 0.000 0.000  -0.01
2 P 0.000 0.500 0.000  0.18
3 P 0.500 0.000 0.000  0.18
4 Bi 0.500 0.500 0.500  -0.12
5 O 0.000 0.000 0.500  0.07

Record 3
Density functional theory data (PBE) for an optimized crystal structure of La2BeInPt6.

Results
- Formation energy: -0.570 eV per atom
- Crystal system: cubic
- D(E_F): 5.79 states/eV per cell

Cell: 6.660 6.663 6.663 Å, 60.00 60.02 90.00°
Element x y z (fractional)
1 La 0.750 0.250 0.500
2 La 0.250 0.750 0.500
3 Be 0.000 0.000 0.000
4 In 0.500 0.500 0.000
5 Pt 0.226 0.226 0.548
6 Pt 0.774 0.774 0.000
7 Pt 0.226 0.774 0.000
8 Pt 0.774 0.226 0.000
9 Pt 0.226 0.226 0.000
10 Pt 0.774 0.774 0.452

Record 4
Density functional theory data (PBE) for an optimized crystal structure of InGeSb.

Results
- Crystal system: triclinic
- ΔE to the lowest computed polymorph: 0.008 eV/atom
- D(E_F): 2.23 states/eV per cell

Cell: 4.174 6.489 6.776 Å, 70.30 72.51 71.12°
Element x y z (fractional)
1 In 0.941 0.266 0.364
2 In 0.059 0.734 0.636
3 Ge 0.388 0.732 0.978
4 Ge 0.612 0.268 0.022
5 Sb 0.726 0.792 0.248
6 Sb 0.274 0.208 0.752

Record 5
Density functional theory data (PBE) for an optimized crystal structure of TlGa2Mo2.

Results
- Formation energy: 0.422 eV per atom
- Crystal system: tetragonal
- ΔE to the lowest computed polymorph: 0.185 eV/atom
- D(E_F): 10.01 states/eV per cell

Cell: 7.032 7.032 3.438 Å, 90.00 90.00 90.00°
Element x y z (fractional)
1 Tl 0.000 0.000 0.000
2 Tl 0.500 0.500 0.000
3 Mo 0.167 0.667 0.500
4 Mo 0.667 0.833 0.500
5 Mo 0.833 0.333 0.500
6 Mo 0.333 0.167 0.500
7 Ga 0.373 0.873 0.000
8 Ga 0.873 0.627 0.000
9 Ga 0.627 0.127 0.000
10 Ga 0.127 0.373 0.000

Record 6
Density functional theory data (PBE) for an optimized crystal structure of Pr8GeS3Cl4.

Results
- Electronic total energy: -88.5 eV for the cell shown
- Crystal system: trigonal
- D(E_F): 6.80 states/eV per cell

Cell: 8.341 8.452 8.341 Å, 119.57 120.00 90.00°
Element x y z (fractional)
1 Pr 0.243 0.716 0.973
2 Pr 0.243 0.716 0.487
3 Pr 0.264 0.291 0.527
4 Pr 0.729 0.716 0.973
5 Pr 0.271 0.284 0.027
6 Pr 0.736 0.709 0.473
7 Pr 0.757 0.284 0.513
8 Pr 0.757 0.284 0.027
9 Ge 0.000 0.500 0.000
10 S 0.500 0.500 0.000
11 S 0.500 0.500 0.500
12 S 0.000 0.500 0.500
13 Cl 0.500 0.000 0.000
14 Cl 0.500 0.000 0.500
15 Cl 0.000 0.000 0.000
16 Cl 0.000 0.000 0.500

Record 7
Density functional theory data (PBE) for an optimized crystal structure of AlRe2SnHg.

Results
- Formation energy: 1.686 eV per atom
- Crystal system: tetragonal
- D(E_F): 7.49 states/eV per cell

Cell: 4.620 4.986 4.620 Å, 90.00 90.00 90.00°
Element x y z (fractional)
1 Re 0.000 0.000 0.500
2 Re 0.500 0.000 0.000
3 Al 0.000 0.000 0.000
4 Hg 0.500 0.500 0.500
5 Sn 0.000 0.500 0.000

Record 8
Density functional theory data (PBE) for an optimized crystal structure of ZrCdCl.

Results
- Crystal system: orthorhombic
- ΔE to the lowest computed polymorph: 0.000 eV/atom
- D(E_F): 4.11 states/eV per cell

Cell: 3.258 3.259 15.592 Å, 90.00 90.00 119.99°
Element x y z (fractional)
1 Cd 0.349 0.699 0.000
2 Cd 0.330 0.661 0.500
3 Zr 0.663 0.327 0.335
4 Zr 0.663 0.327 0.665
5 Cl 0.330 0.660 0.781
6 Cl 0.330 0.660 0.219

Record 9
Density functional theory data (PBE) for an optimized crystal structure of Zr2MnTlC.

Results
- Formation energy: -0.240 eV per atom
- Crystal system: tetragonal
- D(E_F): 3.81 states/eV per cell

Cell: 4.668 4.668 3.915 Å, 90.00 90.00 90.00°
Last column: magnetic moment on the atom in μB.
Element x y z (fractional)
1 Tl 0.500 0.500 0.500  -0.01
2 Mn 0.000 0.000 0.500  2.09
3 C 0.000 0.000 0.000  -0.05
4 Zr 0.000 0.500 0.000  -0.10
5 Zr 0.500 0.000 0.000  -0.10

Record 10
Density functional theory data (PBE) for an optimized crystal structure of NaSr2Zn3Ge4.

Results
- Formation energy: -0.300 eV per atom
- Crystal system: tetragonal
- D(E_F): 4.27 states/eV per cell

Cell: 4.450 4.450 11.202 Å, 90.00 90.00 90.00°
Element x y z (fractional)
1 Na 0.500 0.500 0.500
2 Sr 0.500 0.000 0.243
3 Sr 0.000 0.500 0.757
4 Zn 0.000 0.000 0.500
5 Zn 0.500 0.000 0.869
6 Zn 0.000 0.500 0.131
7 Ge 0.500 0.500 0.000
8 Ge 0.000 0.000 0.000
9 Ge 0.500 0.000 0.646
10 Ge 0.000 0.500 0.354

Record 11
Density functional theory data (PBE) for an optimized crystal structure of LaDyY6.

Results
- Formation energy: 0.202 eV per atom
- Crystal system: triclinic
- ΔE to the lowest computed polymorph: 0.054 eV/atom
- D(E_F): 15.04 states/eV per cell

Cell: 6.806 6.590 7.079 Å, 76.16 60.48 89.50°
Element x y z (fractional)
1 La 0.000 0.000 0.000
2 Dy 0.000 0.500 0.000
3 Y 0.092 0.765 0.487
4 Y 0.567 0.727 0.529
5 Y 0.433 0.273 0.471
6 Y 0.908 0.235 0.513
7 Y 0.541 0.746 0.003
8 Y 0.459 0.254 0.997

Record 12
Density functional theory data (PBE) for an optimized crystal structure of SrTi2Pt2.

Results
- Formation energy: -0.774 eV per atom
- Crystal system: tetragonal
- ΔE to the lowest computed polymorph: 0.000 eV/atom
- D(E_F): 3.15 states/eV per cell

Cell: 4.444 4.444 6.230 Å, 69.11 69.11 90.00°
Element x y z (fractional)
1 Sr 0.000 0.000 0.000
2 Pt 0.372 0.372 0.257
3 Pt 0.628 0.628 0.743
4 Ti 0.750 0.250 0.500
5 Ti 0.250 0.750 0.500